Density functional theory data (PBE-GGA) for a geometry-optimized YInGa2 structure.

a = 6.3411 Å, b = 6.3411 Å, c = 6.3411 Å
α = 103.89°, β = 103.89°, γ = 121.33°
Last column: nearest neighbours and their distance in Å.
Atoms (fractional coordinates):
1 Y 0.0000 0.0000 0.0000  4 Ga 3.00, 2 In 3.11
2 Y 0.7500 0.2500 0.5000  4 Ga 3.00, 2 In 3.11
3 In 0.2500 0.7500 0.5000  4 Ga 2.75
4 In 0.5000 0.5000 0.0000  4 Ga 2.75
5 Ga 0.1492 0.6250 0.0242  2 In 2.75, 2 Y 3.00
6 Ga 0.3750 0.3992 0.5242  2 In 2.75, 2 Y 3.00
7 Ga 0.6008 0.1250 0.9758  2 In 2.75, 2 Y 3.00
8 Ga 0.8750 0.8508 0.4758  2 In 2.75, 2 Y 3.00

D(E_F): 3.28 states/eV per cell
mass density: 6.0 Mg/m³
energy of formation: -224 meV per atom
total DFT energy (no corrections): -32.30 eV for the cell shown

Density functional theory data (PBE-GGA) for a geometry-optimized Rb3C structure.

a = 4.7510 Å, b = 4.7510 Å, c = 12.1776 Å
α = 102.02°, β = 102.02°, γ = 60.10°
Last column: nearest neighbours and their distance in Å.
Atoms (fractional coordinates):
1 Rb 0.0000 0.0000 0.0000  12 Rb 4.75-5.20
2 Rb 0.2134 0.2134 0.6310  3 C 3.15
3 Rb 0.7866 0.7866 0.3690  3 C 3.15
4 C 0.5000 0.5000 0.5000  6 Rb 3.15

D(E_F): 2.30 states/eV per cell
mass density: 1.9 Mg/m³
energy of formation: 1083 meV per atom
total DFT energy (no corrections): -7.79 eV for the cell shown
energy above the most stable polymorph in this dataset: 0.004 eV/atom